No. 1
Below is a geometry-optimized Li2Al2Cd structure, with properties calculated at the PBE level.

Values from the calculation:
Energy above the lowest structure with this stoichiometry (eV per atom): 0.200
VASP energy (eV per atom): -2.363
ΔH_f (0 K) (eV per atom): 0.0824
Magnetization (μB/f.u.): 0.0

Geometry as POSCAR:
```
Li2Al2Cd
1.0
3.789 0.000 0.000
0.000 3.789 0.000
0.000 0.000 13.543
Li Al Cd
4 4 2
Direct
0.000 0.500 0.250
0.000 0.500 0.750
0.500 0.000 0.250
0.500 0.000 0.750
0.000 0.000 0.097
0.000 0.000 0.903
0.500 0.500 0.403
0.500 0.500 0.597
0.000 0.000 0.500
0.500 0.500 0.000
```

=====

No. 2
Below is a geometry-optimized LiAl2Cd2 structure, with properties calculated at the PBE level.

Values from the calculation:
Energy above the lowest structure with this stoichiometry (eV per atom): 0.000
VASP energy (eV per atom): -2.211
ΔH_f (0 K) (eV per atom): 0.0349
Magnetization (μB/f.u.): 0.0

Geometry as POSCAR:
```
LiAl2Cd2
1.0
3.947 0.000 0.000
0.000 3.947 0.000
0.000 0.000 13.645
Li Al Cd
2 4 4
Direct
0.000 0.000 0.000
0.500 0.500 0.500
0.000 0.500 0.250
0.000 0.500 0.750
0.500 0.000 0.250
0.500 0.000 0.750
0.000 0.000 0.400
0.000 0.000 0.600
0.500 0.500 0.100
0.500 0.500 0.900
```

=====

No. 3
Below is a geometry-optimized LiAlCd3 structure, with properties calculated at the PBE level.

Values from the calculation:
VASP energy (eV per atom): -1.413
ΔH_f (0 K) (eV per atom): 0.2676
Magnetization (μB/f.u.): 0.0

Geometry as POSCAR:
```
LiAlCd3
1.0
5.237 0.000 0.000
0.000 5.237 0.000
0.000 0.000 5.237
Li Al Cd
1 1 3
Direct
0.000 0.000 0.000
0.500 0.500 0.500
0.000 0.500 0.500
0.500 0.000 0.500
0.500 0.500 0.000
```

=====

No. 4
Below is a geometry-optimized LiAlCd2 structure, with properties calculated at the PBE level.

Values from the calculation:
VASP energy (eV per atom): -1.907
ΔH_f (0 K) (eV per atom): -0.0352
Magnetization (μB/f.u.): 0.0

Geometry as POSCAR:
```
LiAlCd2
1.0
6.769 0.000 0.000
0.000 6.769 0.000
0.000 0.000 6.769
Li Al Cd
4 4 8
Direct
0.000 0.000 0.000
0.000 0.500 0.500
0.500 0.000 0.500
0.500 0.500 0.000
0.250 0.250 0.250
0.250 0.750 0.750
0.750 0.250 0.750
0.750 0.750 0.250
0.000 0.000 0.500
0.000 0.500 0.000
0.250 0.250 0.750
0.250 0.750 0.250
0.500 0.000 0.000
0.500 0.500 0.500
0.750 0.250 0.250
0.750 0.750 0.750
```

=====

No. 5
Below is a geometry-optimized Li5AlCd2 structure, with properties calculated at the PBE level.

Values from the calculation:
VASP energy (eV per atom): -2.070
ΔH_f (0 K) (eV per atom): -0.1770
Magnetization (μB/f.u.): 0.0

Geometry as POSCAR:
```
Li5AlCd2
1.0
4.686 0.000 0.000
0.000 4.686 0.000
0.000 0.000 12.720
Li Al Cd
10 2 4
Direct
0.000 0.000 0.000
0.000 0.500 0.121
0.000 0.500 0.379
0.000 0.500 0.621
0.000 0.500 0.879
0.500 0.000 0.121
0.500 0.000 0.379
0.500 0.000 0.621
0.500 0.000 0.879
0.500 0.500 0.500
0.000 0.000 0.500
0.500 0.500 0.000
0.000 0.000 0.257
0.000 0.000 0.743
0.500 0.500 0.243
0.500 0.500 0.757
```

=====

No. 6
Below is a geometry-optimized LiAlCd2 structure, with properties calculated at the PBE level.

Values from the calculation:
VASP energy (eV per atom): -1.931
ΔH_f (0 K) (eV per atom): -0.0596
Magnetization (μB/f.u.): 0.0

Geometry as POSCAR:
```
LiAlCd2
1.0
3.096 0.000 0.000
0.000 4.242 0.000
0.000 0.000 5.897
Li Al Cd
1 1 2
Direct
0.000 0.000 0.000
0.500 0.500 0.246
0.000 0.000 0.483
0.500 0.500 0.768
```

=====

No. 7
Below is a geometry-optimized Li2Al2Cd structure, with properties calculated at the PBE level.

Values from the calculation:
Energy above the lowest structure with this stoichiometry (eV per atom): 0.154
VASP energy (eV per atom): -2.409
ΔH_f (0 K) (eV per atom): 0.0368
Magnetization (μB/f.u.): 0.0

Geometry as POSCAR:
```
Li2Al2Cd
1.0
7.241 0.000 0.000
0.000 7.241 0.000
0.000 0.000 3.358
Li Al Cd
4 4 2
Direct
0.150 0.350 0.000
0.350 0.850 0.000
0.650 0.150 0.000
0.850 0.650 0.000
0.145 0.645 0.500
0.355 0.145 0.500
0.645 0.855 0.500
0.855 0.355 0.500
0.000 0.000 0.000
0.500 0.500 0.000
```

=====

No. 8
Below is a geometry-optimized LiAlCd2 structure, with properties calculated at the PBE level.

Values from the calculation:
VASP energy (eV per atom): -1.932
ΔH_f (0 K) (eV per atom): -0.0604
Magnetization (μB/f.u.): 0.0

Geometry as POSCAR:
```
LiAlCd2
1.0
3.008 0.000 0.000
0.000 3.008 0.000
0.000 0.000 8.640
Li Al Cd
1 1 2
Direct
0.000 0.000 0.000
0.000 0.000 0.500
0.500 0.500 0.243
0.500 0.500 0.757
```